! CaZr2Fe | the Alexandria database | meta-GGA SCAN | PBEsol geometry; values from VASP
! ΔH_f (0 K), eV/atom: 0.248
! Total moment, μB per atom: 0.000
&SYSTEM
  ibrav = 0, nat = 4, ntyp = 3
/
ATOMIC_SPECIES
Ca 40.08 Ca.upf
Zr 91.22 Zr.upf
Fe 55.84 Fe.upf
ATOMIC_POSITIONS crystal
Ca 0.0000 0.0000 0.0000
Zr 0.3068 0.8068 0.5000
Zr 0.6932 0.1932 0.5000
Fe 0.5000 0.5000 0.0000
CELL_PARAMETERS angstrom
-1.6279 2.6410 4.8538
1.6279 -2.6410 4.8538
1.6279 2.6410 -4.8538

***

! CaGa2 | the Alexandria database | meta-GGA SCAN | PBEsol geometry; values from VASP
! ΔH_f (0 K), eV/atom: -0.597
! Total moment, μB per atom: 0.000
&SYSTEM
  ibrav = 0, nat = 6, ntyp = 2
/
ATOMIC_SPECIES
Ca 40.08 Ca.upf
Ga 69.72 Ga.upf
ATOMIC_POSITIONS crystal
Ca 0.0000 0.0000 0.2500
Ca 0.0000 0.0000 0.7500
Ga 0.3333 0.6667 0.0430
Ga 0.3333 0.6667 0.4570
Ga 0.6667 0.3333 0.5430
Ga 0.6667 0.3333 0.9570
CELL_PARAMETERS angstrom
4.4267 0.0000 0.0000
-2.2133 3.8336 0.0000
0.0000 0.0000 7.1948

***

! Ca11Ga7 | the Alexandria database | meta-GGA SCAN | PBEsol geometry; values from VASP
! ΔH_f (0 K), eV/atom: -0.427
! Total moment, μB per atom: 0.000
&SYSTEM
  ibrav = 0, nat = 36, ntyp = 2
/
ATOMIC_SPECIES
Ca 40.08 Ca.upf
Ga 69.72 Ga.upf
ATOMIC_POSITIONS crystal
Ca 0.0000 0.0000 0.0000
Ca 0.0000 0.0000 0.3356
Ca 0.0000 0.0000 0.6644
Ca 0.0000 0.3356 0.0000
Ca 0.0000 0.3356 0.6644
Ca 0.0000 0.6644 0.0000
Ca 0.0000 0.6644 0.3356
Ca 0.1112 0.6296 0.6296
Ca 0.3356 0.0000 0.0000
Ca 0.3356 0.0000 0.6644
Ca 0.3356 0.6644 0.0000
Ca 0.3704 0.3704 0.3704
Ca 0.3704 0.3704 0.8888
Ca 0.3704 0.8888 0.3704
Ca 0.5000 0.5000 0.5000
Ca 0.6296 0.1112 0.6296
Ca 0.6296 0.6296 0.1112
Ca 0.6296 0.6296 0.6296
Ca 0.6644 0.0000 0.0000
Ca 0.6644 0.0000 0.3356
Ca 0.6644 0.3356 0.0000
Ca 0.8888 0.3704 0.3704
Ga 0.1908 0.1908 0.1908
Ga 0.1908 0.1908 0.4277
Ga 0.1908 0.4277 0.1908
Ga 0.2797 0.2797 0.7203
Ga 0.2797 0.7203 0.2797
Ga 0.2797 0.7203 0.7203
Ga 0.4277 0.1908 0.1908
Ga 0.5723 0.8092 0.8092
Ga 0.7203 0.2797 0.2797
Ga 0.7203 0.2797 0.7203
Ga 0.7203 0.7203 0.2797
Ga 0.8092 0.5723 0.8092
Ga 0.8092 0.8092 0.5723
Ga 0.8092 0.8092 0.8092
CELL_PARAMETERS angstrom
0.0000 7.9264 7.9264
7.9264 0.0000 7.9264
7.9264 7.9264 0.0000

***

! CaGa4 | the Alexandria database | meta-GGA SCAN | PBEsol geometry; values from VASP
! ΔH_f (0 K), eV/atom: -0.444
! Total moment, μB per atom: 0.000
&SYSTEM
  ibrav = 0, nat = 5, ntyp = 2
/
ATOMIC_SPECIES
Ca 40.08 Ca.upf
Ga 69.72 Ga.upf
ATOMIC_POSITIONS crystal
Ca 0.0000 0.0000 0.0000
Ga 0.2500 0.7500 0.5000
Ga 0.3851 0.3851 0.0000
Ga 0.6149 0.6149 0.0000
Ga 0.7500 0.2500 0.5000
CELL_PARAMETERS angstrom
-2.1479 2.1479 5.2904
2.1479 -2.1479 5.2904
2.1479 2.1479 -5.2904

***

! Ca5Ga3 | the Alexandria database | meta-GGA SCAN | PBEsol geometry; values from VASP
! ΔH_f (0 K), eV/atom: -0.413
! Total moment, μB per atom: 0.000
&SYSTEM
  ibrav = 0, nat = 16, ntyp = 2
/
ATOMIC_SPECIES
Ca 40.08 Ca.upf
Ga 69.72 Ga.upf
ATOMIC_POSITIONS crystal
Ca 0.0000 0.0000 0.0000
Ca 0.0325 0.5325 0.8542
Ca 0.1784 0.0325 0.5000
Ca 0.3216 0.8216 0.8542
Ca 0.4675 0.3216 0.5000
Ca 0.5000 0.5000 0.0000
Ca 0.5325 0.6784 0.5000
Ca 0.6784 0.1784 0.1458
Ca 0.8216 0.9675 0.5000
Ca 0.9675 0.4675 0.1458
Ga 0.1111 0.3889 0.5000
Ga 0.2500 0.2500 0.0000
Ga 0.3889 0.8889 0.2778
Ga 0.6111 0.1111 0.7222
Ga 0.7500 0.7500 0.0000
Ga 0.8889 0.6111 0.5000
CELL_PARAMETERS angstrom
-3.9140 3.9140 7.3400
3.9140 -3.9140 7.3400
3.9140 3.9140 -7.3400

***

! Ca3Ga5 | the Alexandria database | meta-GGA SCAN | PBEsol geometry; values from VASP
! ΔH_f (0 K), eV/atom: -0.592
! Total moment, μB per atom: 0.000
&SYSTEM
  ibrav = 0, nat = 16, ntyp = 2
/
ATOMIC_SPECIES
Ca 40.08 Ca.upf
Ga 69.72 Ga.upf
ATOMIC_POSITIONS crystal
Ca 0.0887 0.9113 0.6099
Ca 0.0887 0.9113 0.8901
Ca 0.3701 0.6299 0.7500
Ca 0.6299 0.3701 0.2500
Ca 0.9113 0.0887 0.1099
Ca 0.9113 0.0887 0.3901
Ga 0.2079 0.7921 0.0997
Ga 0.2079 0.7921 0.4003
Ga 0.3369 0.6631 0.2500
Ga 0.3840 0.6160 0.5340
Ga 0.3840 0.6160 0.9660
Ga 0.6160 0.3840 0.0340
Ga 0.6160 0.3840 0.4660
Ga 0.6631 0.3369 0.7500
Ga 0.7921 0.2079 0.5997
Ga 0.7921 0.2079 0.9003
CELL_PARAMETERS angstrom
2.2031 -5.2983 0.0000
2.2031 5.2983 0.0000
0.0000 0.0000 14.7917

***

! CaGa2 | the Alexandria database | meta-GGA SCAN | PBEsol geometry; values from VASP
! ΔH_f (0 K), eV/atom: -0.573
! Total moment, μB per atom: 0.000
&SYSTEM
  ibrav = 0, nat = 3, ntyp = 2
/
ATOMIC_SPECIES
Ca 40.08 Ca.upf
Ga 69.72 Ga.upf
ATOMIC_POSITIONS crystal
Ca 0.0000 0.0000 0.0000
Ga 0.3333 0.6667 0.5000
Ga 0.6667 0.3333 0.5000
CELL_PARAMETERS angstrom
4.3298 0.0000 0.0000
-2.1649 3.7497 0.0000
0.0000 0.0000 3.9250

***

! Ca3Ga8 | the Alexandria database | meta-GGA SCAN | PBEsol geometry; values from VASP
! ΔH_f (0 K), eV/atom: -0.528
! Total moment, μB per atom: 0.000
&SYSTEM
  ibrav = 0, nat = 11, ntyp = 2
/
ATOMIC_SPECIES
Ca 40.08 Ca.upf
Ga 69.72 Ga.upf
ATOMIC_POSITIONS crystal
Ca 0.0000 0.0000 0.0000
Ca 0.3544 0.8544 0.5000
Ca 0.6456 0.1456 0.5000
Ga 0.0945 0.5944 0.5000
Ga 0.1906 0.6906 0.5000
Ga 0.2503 0.2503 0.0000
Ga 0.4518 0.4518 0.0000
Ga 0.5482 0.5482 0.0000
Ga 0.7497 0.7497 0.0000
Ga 0.8094 0.3094 0.5000
Ga 0.9056 0.4056 0.5000
CELL_PARAMETERS angstrom
-2.1097 2.1279 12.7121
2.1097 -2.1279 12.7121
2.1097 2.1279 -12.7121

***

! Ca3GaGe | the Alexandria database | meta-GGA SCAN | PBEsol geometry; values from VASP
! ΔH_f (0 K), eV/atom: 0.065
! Total moment, μB per atom: 0.376
&SYSTEM
  ibrav = 0, nat = 5, ntyp = 3
/
ATOMIC_SPECIES
Ca 40.08 Ca.upf
Ga 69.72 Ga.upf
Ge 72.64 Ge.upf
ATOMIC_POSITIONS crystal
Ca 0.0000 0.0000 0.5000
Ca 0.0000 0.5000 0.0000
Ca 0.5000 0.0000 0.0000
Ga 0.0000 0.0000 0.0000
Ge 0.5000 0.5000 0.5000
CELL_PARAMETERS angstrom
5.5136 0.0000 0.0000
0.0000 5.5136 0.0000
0.0000 0.0000 5.5136

***

! CaGaNi2Ge | the Alexandria database | meta-GGA SCAN | PBEsol geometry; values from VASP
! ΔH_f (0 K), eV/atom: 1.521
! Total moment, μB per atom: 0.000
&SYSTEM
  ibrav = 0, nat = 5, ntyp = 4
/
ATOMIC_SPECIES
Ca 40.08 Ca.upf
Ga 69.72 Ga.upf
Ni 58.69 Ni.upf
Ge 72.64 Ge.upf
ATOMIC_POSITIONS crystal
Ca 0.0000 0.0000 0.0000
Ga 0.5000 0.5000 0.5000
Ni 0.0000 0.5000 0.0000
Ni 0.5000 0.0000 0.0000
Ge 0.0000 0.0000 0.5000
CELL_PARAMETERS angstrom
4.4791 0.0000 0.0000
0.0000 4.4791 0.0000
0.0000 0.0000 5.2472

***

! Ca2Ga2GeO7 | the Alexandria database | meta-GGA SCAN | PBEsol geometry; values from VASP
! Total moment, μB per atom: 0.009
! Raw formation energy, meV per atom: -2487.1
&SYSTEM
  ibrav = 0, nat = 24, ntyp = 4
/
ATOMIC_SPECIES
Ca 40.08 Ca.upf
Ga 69.72 Ga.upf
Ge 72.64 Ge.upf
O 16.00 O.upf
ATOMIC_POSITIONS crystal
Ca 0.0045 0.0000 0.3945
Ca 0.0267 0.3169 0.0723
Ca 0.9733 0.8169 0.9277
Ca 0.9955 0.5000 0.6055
Ga 0.4697 0.5226 0.8970
Ga 0.4969 0.6674 0.2554
Ga 0.5031 0.1674 0.7446
Ga 0.5303 0.0226 0.1030
Ge 0.4543 0.8118 0.6072
Ge 0.5457 0.3118 0.3928
O 0.1850 0.0230 0.1098
O 0.2128 0.3065 0.3894
O 0.2795 0.7491 0.4193
O 0.2869 0.3325 0.8214
O 0.2948 0.5658 0.0929
O 0.2981 0.0100 0.6323
O 0.3002 0.6853 0.7606
O 0.6998 0.1853 0.2394
O 0.7019 0.5100 0.3677
O 0.7052 0.0658 0.9071
O 0.7131 0.8325 0.1786
O 0.7205 0.2491 0.5807
O 0.7872 0.8065 0.6106
O 0.8150 0.5230 0.8902
CELL_PARAMETERS angstrom
5.1728 0.0000 0.0000
0.0000 7.8705 0.0000
-0.2077 0.0000 7.8921

***

! Ca3Ga2Ge4O14 | the Alexandria database | meta-GGA SCAN | PBEsol geometry; values from VASP
! Total moment, μB per atom: 0.000
! Raw formation energy, meV per atom: -2347.1
&SYSTEM
  ibrav = 0, nat = 23, ntyp = 4
/
ATOMIC_SPECIES
Ca 40.08 Ca.upf
Ga 69.72 Ga.upf
Ge 72.64 Ge.upf
O 16.00 O.upf
ATOMIC_POSITIONS crystal
Ca 0.0000 0.0000 0.0000
Ca 0.4057 0.1657 0.9997
Ca 0.8343 0.5943 0.0003
Ga 0.1739 0.5980 0.5164
Ga 0.4020 0.8261 0.4836
Ge 0.0785 0.2591 0.4671
Ge 0.4118 0.5882 0.0000
Ge 0.6543 0.3457 0.5000
Ge 0.7409 0.9215 0.5329
O 0.0787 0.2528 0.8121
O 0.0890 0.4495 0.3152
O 0.2048 0.7263 0.2366
O 0.2535 0.0551 0.2970
O 0.2737 0.7952 0.7634
O 0.3386 0.4433 0.7793
O 0.4932 0.3671 0.2433
O 0.5505 0.9110 0.6848
O 0.5567 0.6614 0.2207
O 0.6329 0.5068 0.7567
O 0.7269 0.1317 0.6893
O 0.7472 0.9213 0.1879
O 0.8683 0.2731 0.3107
O 0.9449 0.7465 0.7030
CELL_PARAMETERS angstrom
6.9289 -4.0698 0.0000
6.9289 4.0698 0.0000
-0.1145 0.0000 4.9734